[1]
Entry from Alexandria: a relaxed NaIn2BiB crystal (PBE).

Calculated values
Its space-group type is P4/mmm, No. 123. For the formation energy, the calculation gives 1.306 eV/atom. The volume is 41.17 Å³ per atom.

```
NaIn2BiB
1.0
5.942 0.000 0.000
0.000 5.942 0.000
0.000 0.000 5.831
Na In Bi B
1 2 1 1
direct
0.000 0.000 0.000
0.000 0.500 0.500
0.500 0.000 0.500
0.000 0.000 0.500
0.500 0.500 0.000
```

[2]
Entry from Alexandria: a relaxed GaCo2Tc crystal (PBE).

Calculated values
Its space-group type is P4/mmm, No. 123. For the formation energy, the calculation gives -0.001 eV/atom. The volume is 12.71 Å³ per atom.

```
GaCo2Tc
1.0
4.052 0.000 0.000
0.000 4.052 0.000
0.000 0.000 3.096
Ga Co Tc
1 2 1
direct
0.000 0.000 0.000
0.000 0.500 0.500
0.500 0.000 0.500
0.500 0.500 0.000
```

[3]
Entry from Alexandria: a relaxed MgInIN2 crystal (PBE).

Calculated values
Its space-group type is P4/mmm, No. 123. The energy above the most stable polymorph in this dataset comes out at 117 meV per atom. The value obtained for the energy relative to the elements, uncorrected is 1162 meV per atom. The volume is 23.50 Å³ per atom.

```
MgInIN2
1.0
4.301 0.000 0.000
0.000 4.301 0.000
0.000 0.000 6.352
Mg In I N
1 1 1 2
direct
0.000 0.000 0.000
0.500 0.500 0.500
0.500 0.500 0.000
0.000 0.500 0.500
0.500 0.000 0.500
```

[4]
Entry from Alexandria: a relaxed PbCN2F crystal (PBE).

Calculated values
Its space-group type is P4/mmm, No. 123. The energy above the most stable polymorph in this dataset comes out at 0 meV per atom. The value obtained for the energy relative to the elements, uncorrected is 1210 meV per atom. The volume is 11.51 Å³ per atom.

```
PbCN2F
1.0
3.366 0.000 0.000
0.000 3.366 0.000
0.000 0.000 5.081
Pb C N F
1 1 2 1
direct
0.000 0.000 0.000
0.500 0.500 0.500
0.000 0.500 0.500
0.500 0.000 0.500
0.500 0.500 0.000
```

[5]
Entry from Alexandria: a relaxed CaNd2Zn2Sn2 crystal (PBE).

Calculated values
Its space-group type is R-3m, No. 166. For the formation energy, the calculation gives -0.361 eV/atom. The volume is 26.99 Å³ per atom.

```
CaNd2Zn2Sn2
1.0
2.365 1.365 9.754
-2.365 1.365 9.754
0.000 -2.731 9.754
Ca Nd Zn Sn
1 2 2 2
direct
0.000 0.000 0.000
0.130 0.130 0.130
0.870 0.870 0.870
0.416 0.416 0.416
0.584 0.584 0.584
0.265 0.265 0.265
0.735 0.735 0.735
```

[6]
Entry from Alexandria: a relaxed CeMg2AlGe2 crystal (PBE).

Calculated values
Its space-group type is Pmc2_1, No. 26. For the formation energy, the calculation gives -0.348 eV/atom. The volume is 21.13 Å³ per atom.

```
CeMg2AlGe2
1.0
4.269 0.000 0.000
0.000 8.409 0.000
0.000 0.000 7.064
Ce Mg Al Ge
2 4 2 4
direct
0.000 0.065 0.000
0.000 0.935 0.500
0.000 0.329 0.380
0.000 0.671 0.880
0.500 0.420 0.055
0.500 0.580 0.555
0.500 0.194 0.678
0.500 0.806 0.178
0.000 0.364 0.764
0.000 0.636 0.264
0.500 0.134 0.295
0.500 0.866 0.795
```